## MgBi2Pt (PBE)

Data for a relaxed MgBi2Pt crystal.

The structure belongs to space group I-42d (No. 122); the cell edges are 6.545, 6.545 and 12.823 Å and the angles 90.00°, 90.00° and 90.00°. The distinct sites, in fractional coordinates, are Mg at (0.000, 0.000, 0.000), Bi at (0.211, 0.250, 0.625) and Pt at (0.000, 0.000, 0.500).

For the formation energy, the calculation gives 0.14 eV per atom.